10
Lattice="0.000 4.418 4.418 4.418 0.000 4.418 4.418 4.418 0.000" Properties=species:S:1:pos:R:3 comment="TmMnTl2F6, optimized geometry, DFT GGA+U" spacegroup=Fm-3m vol_a3_per_fu=172.5 final_energy_ev_per_cell=-54.5 pbc="T T T"
Tm 0.000 0.000 0.000
Mn 4.418 4.418 4.418
Tl 2.209 2.209 2.209
Tl 6.627 6.627 6.627
F 4.418 4.418 2.182
F 4.418 2.182 4.418
F 6.654 4.418 4.418
F 2.182 4.418 4.418
F 4.418 6.654 4.418
F 4.418 4.418 6.654